No. 1
Material: CeSmTl4
Method: DFT, PBE
State: relaxed

```
CeSmTl4
1.0
6.257 0.000 0.000
3.128 5.418 0.000
3.128 1.806 5.109
Sm Tl Ce
1 4 1
Cartesian
3.128 1.806 1.277
7.821 4.516 3.193
4.692 4.516 3.193
6.257 3.612 0.638
6.257 1.806 3.193
0.000 0.000 0.000
```

Output
The offset from the most stable computed form is 0 meV/atom. For the total DFT energy (no corrections), the calculation gives -3.43 eV/atom. The calculation puts the energy of formation from the pure elements at -77 meV/atom. For the total magnetization, the calculation gives 0.2638 μB per atom. The density is 10.62 g cm⁻³. Its space group is F-43m (216).

No. 2
Material: HfIrO3
Method: DFT, PBE
State: relaxed

```
HfIrO3
1.0
-0.706 3.904 -0.813
-3.762 -0.379 1.450
1.322 1.008 3.693
O Ir Hf
3 1 1
Cartesian
-1.881 -0.189 0.725
-0.353 1.952 -0.407
0.661 0.504 1.846
-1.573 2.267 2.165
0.000 0.000 0.000
```

Output
For the energy relative to the elements, uncorrected, the calculation gives -5.60 eV/f.u. For the total DFT energy (no corrections), the calculation gives -7.86 eV/atom. For the total magnetization, the calculation gives 0.6052 μB per atom. The density is 10.47 g cm⁻³. Its space group is Pm-3m (221).